Record 1
Here is an optimized crystal structure of V2CrN from the Alexandria database. Energies are from PBE.

Summary:
**Total magnetic moment**: 0.00 μB per formula unit
**Raw formation energy**: -0.3286 eV/atom
**Symmetry**: I-42d (122)
**Density of states at the Fermi level**: 2.80 states/eV/f.u.

a = 6.821 Å, b = 6.821 Å, c = 5.220 Å
α = 49.21°, β = 49.21°, γ = 90.00°
Sites, in units of the cell vectors:
Cr 0.000 0.000 0.000
V 0.498 0.125 0.250
V 0.252 0.625 0.250
V 0.875 0.748 0.750
V 0.375 0.502 0.750
N 0.250 0.750 0.500
N 0.500 0.500 0.000
Cr 0.750 0.250 0.500


Record 2
Here is an optimized crystal structure of PuTlZn2O6 from the Alexandria database. Energies are from PBE.

Summary:
**Total magnetic moment**: 0.99 μB per formula unit
**Raw formation energy**: -1.6793 eV/atom
**Symmetry**: P2_1/c (14)

a = 5.839 Å, b = 5.589 Å, c = 9.338 Å
α = 90.00°, β = 82.93°, γ = 90.00°
Site moments in Bohr magnetons follow the coordinates.
Sites, in units of the cell vectors:
Tl 0.000 0.500 0.500  -0.01
O 0.000 0.199 0.097  -0.07
Zn 0.080 0.994 0.261  -0.01
O 0.148 0.672 0.186  -0.04
Zn 0.580 0.506 0.761  -0.01
O 0.184 0.938 0.592  -0.07
O 0.316 0.438 0.908  -0.07
Tl 0.500 0.000 0.000  -0.01
O 0.648 0.828 0.686  -0.04
Pu 0.000 0.500 0.000  1.42
O 0.352 0.172 0.314  -0.04
Zn 0.920 0.006 0.739  -0.01
Zn 0.420 0.494 0.239  -0.01
O 0.500 0.301 0.597  -0.07
Pu 0.500 0.000 0.500  1.42
O 0.500 0.699 0.403  -0.07
O 0.816 0.062 0.408  -0.07
O 0.000 0.801 0.903  -0.07
O 0.684 0.562 0.092  -0.07
O 0.852 0.328 0.814  -0.04


Record 3
Here is an optimized crystal structure of HoThTe2 from the Alexandria database. Energies are from PBE.

Summary:
**Total magnetic moment**: 0.00 μB per formula unit
**Raw formation energy**: -1.1012 eV/atom
**Symmetry**: I4_1/amd (141)
**Density of states at the Fermi level**: 3.91 states/eV/f.u.
**Offset from the most stable computed form**: 0.044 eV per atom

a = 6.252 Å, b = 6.252 Å, c = 7.622 Å
α = 114.21°, β = 114.21°, γ = 90.00°
Sites, in units of the cell vectors:
Te 0.255 0.255 0.511
Ho 0.500 0.500 0.000
Th 0.750 0.250 0.500
Th 0.000 0.000 0.000
Te 0.745 0.745 0.489
Te 0.495 0.995 0.989
Te 0.005 0.505 0.011
Ho 0.250 0.750 0.500


Record 4
Here is an optimized crystal structure of Y2ZrSbSe from the Alexandria database. Energies are from PBE.

Summary:
**Total magnetic moment**: 0.00 μB per formula unit
**Raw formation energy**: 0.2557 eV/atom
**Symmetry**: P4/mmm (123)
**Density of states at the Fermi level**: 3.58 states/eV/f.u.

a = 5.663 Å, b = 5.248 Å, c = 5.663 Å
α = 90.00°, β = 90.00°, γ = 90.00°
Sites, in units of the cell vectors:
Se 0.500 0.500 0.500
Zr 0.000 0.000 0.000
Y 0.500 0.000 0.000
Sb 0.000 0.500 0.000
Y 0.000 0.000 0.500